Record 1
# ErMg11Hg (PBE-GGA, optimized geometry)
# Energy   -46.22 eV/cell
data_ErMg11Hg
_chemical_formula_sum 'Er2 Mg22 Hg2'
_cell_length_a 5.885
_cell_length_b 14.335
_cell_length_c 7.684
_cell_angle_alpha 90.00
_cell_angle_beta 111.20
_cell_angle_gamma 90.00
_symmetry_space_group_name_H-M 'C 1 2/m 1'
_symmetry_Int_Tables_number 12
loop_
_symmetry_equiv_pos_as_xyz
'x,y,z'
'-x,-y,-z'
'-x,y,-z'
'x,-y,z'
'x+1/2,y+1/2,z'
'-x+1/2,-y+1/2,-z'
'-x+1/2,y+1/2,-z'
'x+1/2,-y+1/2,z'
loop_
_atom_site_label
_atom_site_type_symbol
_atom_site_fract_x
_atom_site_fract_y
_atom_site_fract_z
_atom_site_occupancy
Er1 Er 0.000 0.000 0.000 1
Mg1 Mg 0.000 0.000 0.500 1
Mg2 Mg 0.104 0.396 0.213 1
Mg3 Mg 0.173 0.174 0.352 1
Mg4 Mg 0.250 0.250 0.000 1
Hg1 Hg 0.000 0.500 0.500 1

***

Record 2
# ErMg3Hg2 (PBE-GGA, optimized geometry)
# Energy   -45.55 eV/cell
# ΔE to the lowest computed polymorph   0.0452 eV per atom
data_ErMg3Hg2
_chemical_formula_sum 'Er4 Mg12 Hg8'
_cell_length_a 16.619
_cell_length_b 4.578
_cell_length_c 8.060
_cell_angle_alpha 90.00
_cell_angle_beta 112.79
_cell_angle_gamma 90.00
_symmetry_space_group_name_H-M 'C 1 2/m 1'
_symmetry_Int_Tables_number 12
loop_
_symmetry_equiv_pos_as_xyz
'x,y,z'
'-x,-y,-z'
'-x,y,-z'
'x,-y,z'
'x+1/2,y+1/2,z'
'-x+1/2,-y+1/2,-z'
'-x+1/2,y+1/2,-z'
'x+1/2,-y+1/2,z'
loop_
_atom_site_label
_atom_site_type_symbol
_atom_site_fract_x
_atom_site_fract_y
_atom_site_fract_z
_atom_site_occupancy
Er1 Er 0.115 0.000 0.158 1
Mg1 Mg 0.063 0.000 0.695 1
Mg2 Mg 0.149 0.500 0.496 1
Mg3 Mg 0.191 0.500 0.903 1
Hg1 Hg 0.009 0.500 0.823 1
Hg2 Hg 0.240 0.000 0.711 1

***

- Look up the energy of the first one.
  -46.22 eV/cell